w) VASP calculation (PBE) on an optimized crystal structure of SmDyHoCd.

Lattice parameters (Å, degrees): 7.732 7.732 7.732 90.00 90.00 90.00
Fractional coordinates of all 16 atoms:
Sm (0.000, 0.000, 0.000)
Sm (0.000, 0.500, 0.500)
Sm (0.500, 0.000, 0.500)
Sm (0.500, 0.500, 0.000)
Dy (0.000, 0.000, 0.500)
Dy (0.000, 0.500, 0.000)
Dy (0.500, 0.000, 0.000)
Dy (0.500, 0.500, 0.500)
Ho (0.250, 0.250, 0.250)
Ho (0.250, 0.750, 0.750)
Ho (0.750, 0.250, 0.750)
Ho (0.750, 0.750, 0.250)
Cd (0.250, 0.250, 0.750)
Cd (0.250, 0.750, 0.250)
Cd (0.750, 0.250, 0.250)
Cd (0.750, 0.750, 0.750)

N(E_F), states/eV/cell: 21.19
Total moment, μB per formula unit: 0.004
Space group: F-43m
Crystal system: cubic



x) VASP calculation (PBE) on an optimized crystal structure of SmDyHoCd.

Lattice parameters (Å, degrees): 3.602 3.602 9.041 90.00 90.00 90.00
Fractional coordinates of all 4 atoms:
Sm (0.000, 0.000, 0.000)
Dy (0.500, 0.500, 0.723)
Ho (0.500, 0.500, 0.276)
Cd (0.000, 0.000, 0.498)

N(E_F), states/eV/cell: 4.02
Total moment, μB per formula unit: 0.000
Space group: P4mm
Crystal system: tetragonal



Need the numbers? Relative energies in kJ/mol of atoms: w) 11.9; x) 0.0.



w) VASP calculation (PBE) on an optimized crystal structure of DyYHoCd.

Lattice parameters (Å, degrees): 3.582 3.582 9.043 90.00 90.00 90.00
Fractional coordinates of all 4 atoms:
Dy (0.000, 0.000, 0.000)
Y (0.500, 0.500, 0.725)
Ho (0.500, 0.500, 0.270)
Cd (0.000, 0.000, 0.496)

N(E_F), states/eV/cell: 4.85
Total moment, μB per formula unit: 0.000
Space group: P4mm
Crystal system: tetragonal



x) VASP calculation (PBE) on an optimized crystal structure of DyYHoCd.

Lattice parameters (Å, degrees): 7.691 7.691 7.691 90.00 90.00 90.00
Fractional coordinates of all 16 atoms:
Dy (0.000, 0.000, 0.000)
Dy (0.000, 0.500, 0.500)
Dy (0.500, 0.000, 0.500)
Dy (0.500, 0.500, 0.000)
Y (0.000, 0.000, 0.500)
Y (0.000, 0.500, 0.000)
Y (0.500, 0.000, 0.000)
Y (0.500, 0.500, 0.500)
Ho (0.250, 0.250, 0.750)
Ho (0.250, 0.750, 0.250)
Ho (0.750, 0.250, 0.250)
Ho (0.750, 0.750, 0.750)
Cd (0.250, 0.250, 0.250)
Cd (0.250, 0.750, 0.750)
Cd (0.750, 0.250, 0.750)
Cd (0.750, 0.750, 0.250)

N(E_F), states/eV/cell: 21.81
Total moment, μB per formula unit: 0.013
Space group: F-43m
Crystal system: cubic



Need the numbers? Relative energies in kJ/mol of atoms: w) 0.0; x) 12.5.



w) VASP calculation (PBE) on an optimized crystal structure of Dy4CdIn3.

Lattice parameters (Å, degrees): 3.754 3.754 15.030 90.00 90.00 90.00
Fractional coordinates of all 8 atoms:
Dy (0.000, 0.000, 0.122)
Dy (0.000, 0.000, 0.374)
Dy (0.000, 0.000, 0.626)
Dy (0.000, 0.000, 0.878)
Cd (0.500, 0.500, 0.000)
In (0.500, 0.500, 0.247)
In (0.500, 0.500, 0.500)
In (0.500, 0.500, 0.753)

N(E_F), states/eV/cell: 6.55
Total moment, μB per formula unit: 0.000
Space group: P4/mmm
Crystal system: tetragonal



x) VASP calculation (PBE) on an optimized crystal structure of Dy4CdIn3.

Lattice parameters (Å, degrees): 3.772 4.801 12.076 90.00 90.00 90.00
Fractional coordinates of all 8 atoms:
Dy (0.000, 0.000, 0.000)
Dy (0.000, 0.500, 0.312)
Dy (0.500, 0.000, 0.496)
Dy (0.500, 0.500, 0.813)
Cd (0.500, 0.000, 0.231)
In (0.000, 0.000, 0.734)
In (0.000, 0.500, 0.578)
In (0.500, 0.500, 0.080)

N(E_F), states/eV/cell: 7.66
Total moment, μB per formula unit: 0.479
Space group: Pmm2
Crystal system: orthorhombic



Need the numbers? Relative energies in kJ/mol of atoms: w) 0.0; x) 4.4.



w) VASP calculation (PBE) on an optimized crystal structure of Dy3CdIn2.

Lattice parameters (Å, degrees): 5.315 5.315 12.971 90.00 90.00 120.00
Fractional coordinates of all 12 atoms:
Dy (0.000, 0.000, 0.250)
Dy (0.000, 0.000, 0.750)
Dy (0.333, 0.667, 0.417)
Dy (0.333, 0.667, 0.918)
Dy (0.667, 0.333, 0.082)
Dy (0.667, 0.333, 0.583)
Cd (0.333, 0.667, 0.168)
Cd (0.667, 0.333, 0.832)
In (0.000, 0.000, 0.000)
In (0.000, 0.000, 0.500)
In (0.333, 0.667, 0.671)
In (0.667, 0.333, 0.329)

N(E_F), states/eV/cell: 9.10
Total moment, μB per formula unit: 0.000
Space group: P-3m1
Crystal system: trigonal



x) VASP calculation (PBE) on an optimized crystal structure of Dy3CdIn2.

Lattice parameters (Å, degrees): 3.729 3.729 11.404 90.00 90.00 90.00
Fractional coordinates of all 6 atoms:
Dy (0.000, 0.000, 0.000)
Dy (0.000, 0.000, 0.338)
Dy (0.000, 0.000, 0.662)
Cd (0.500, 0.500, 0.500)
In (0.500, 0.500, 0.171)
In (0.500, 0.500, 0.829)

N(E_F), states/eV/cell: 5.48
Total moment, μB per formula unit: 0.000
Space group: P4/mmm
Crystal system: tetragonal



Need the numbers? Relative energies in kJ/mol of atoms: w) 0.0; x) 0.7.



w) VASP calculation (PBE) on an optimized crystal structure of Dy3CdIn.

Lattice parameters (Å, degrees): 10.869 10.869 5.122 90.00 90.00 152.74
Fractional coordinates of all 10 atoms:
Dy (0.059, 0.941, 0.750)
Dy (0.250, 0.750, 0.750)
Dy (0.441, 0.559, 0.750)
Dy (0.559, 0.441, 0.250)
Dy (0.750, 0.250, 0.250)
Dy (0.941, 0.059, 0.250)
Cd (0.154, 0.846, 0.250)
Cd (0.846, 0.154, 0.750)
In (0.344, 0.656, 0.250)
In (0.656, 0.344, 0.750)

N(E_F), states/eV/cell: 12.08
Total moment, μB per formula unit: 0.336
Space group: Cmcm
Crystal system: orthorhombic



x) VASP calculation (PBE) on an optimized crystal structure of Dy3CdIn.

Lattice parameters (Å, degrees): 8.183 8.183 5.259 90.00 90.00 120.00
Fractional coordinates of all 10 atoms:
Dy (0.196, 0.391, 0.250)
Dy (0.196, 0.804, 0.250)
Dy (0.391, 0.196, 0.750)
Dy (0.609, 0.804, 0.250)
Dy (0.804, 0.196, 0.750)
Dy (0.804, 0.609, 0.750)
Cd (0.000, 0.000, 0.000)
Cd (0.000, 0.000, 0.500)
In (0.333, 0.667, 0.750)
In (0.667, 0.333, 0.250)

N(E_F), states/eV/cell: 6.98
Total moment, μB per formula unit: 0.000
Space group: P6_3/mmc
Crystal system: hexagonal



Need the numbers? Relative energies in kJ/mol of atoms: w) 0.0; x) 26.5.



w) VASP calculation (PBE) on an optimized crystal structure of Dy8Cd2In.

Lattice parameters (Å, degrees): 8.568 8.568 8.510 119.03 119.03 36.05
Fractional coordinates of all 11 atoms:
Dy (0.067, 0.067, 0.221)
Dy (0.139, 0.139, 0.686)
Dy (0.318, 0.318, 0.550)
Dy (0.407, 0.407, 0.046)
Dy (0.593, 0.593, 0.954)
Dy (0.682, 0.682, 0.450)
Dy (0.861, 0.861, 0.314)
Dy (0.933, 0.933, 0.779)
Cd (0.225, 0.225, 0.115)
Cd (0.775, 0.775, 0.885)
In (0.500, 0.500, 0.500)

N(E_F), states/eV/cell: 10.72
Total moment, μB per formula unit: 0.000
Space group: C2/m
Crystal system: monoclinic



x) VASP calculation (PBE) on an optimized crystal structure of Dy8Cd2In.

Lattice parameters (Å, degrees): 9.317 9.317 7.302 107.72 107.72 32.46
Fractional coordinates of all 11 atoms:
Dy (0.025, 0.025, 0.259)
Dy (0.191, 0.191, 0.788)
Dy (0.331, 0.331, 0.543)
Dy (0.408, 0.408, 0.038)
Dy (0.592, 0.592, 0.962)
Dy (0.669, 0.669, 0.457)
Dy (0.809, 0.809, 0.212)
Dy (0.975, 0.975, 0.741)
Cd (0.187, 0.187, 0.197)
Cd (0.813, 0.813, 0.803)
In (0.500, 0.500, 0.500)

N(E_F), states/eV/cell: 11.48
Total moment, μB per formula unit: 0.000
Space group: C2/m
Crystal system: monoclinic



Need the numbers? Relative energies in kJ/mol of atoms: w) 0.0; x) 4.8.



w) VASP calculation (PBE) on an optimized crystal structure of DyMgCdIn.

Lattice parameters (Å, degrees): 4.227 4.746 4.832 90.00 90.00 90.00
Fractional coordinates of all 4 atoms:
Dy (0.000, 0.000, 0.000)
Mg (0.000, 0.500, 0.500)
Cd (0.500, 0.000, 0.500)
In (0.500, 0.500, 0.000)

N(E_F), states/eV/cell: 1.42
Total moment, μB per formula unit: 0.000
Space group: Pmmm
Crystal system: orthorhombic



x) VASP calculation (PBE) on an optimized crystal structure of DyMgCdIn.

Lattice parameters (Å, degrees): 7.272 7.272 7.272 90.00 90.00 90.00
Fractional coordinates of all 16 atoms:
Dy (0.000, 0.000, 0.000)
Dy (0.000, 0.500, 0.500)
Dy (0.500, 0.000, 0.500)
Dy (0.500, 0.500, 0.000)
Mg (0.000, 0.000, 0.500)
Mg (0.000, 0.500, 0.000)
Mg (0.500, 0.000, 0.000)
Mg (0.500, 0.500, 0.500)
Cd (0.250, 0.250, 0.250)
Cd (0.250, 0.750, 0.750)
Cd (0.750, 0.250, 0.750)
Cd (0.750, 0.750, 0.250)
In (0.250, 0.250, 0.750)
In (0.250, 0.750, 0.250)
In (0.750, 0.250, 0.250)
In (0.750, 0.750, 0.750)

N(E_F), states/eV/cell: 4.38
Total moment, μB per formula unit: 0.000
Space group: F-43m
Crystal system: cubic



Need the numbers? Relative energies in kJ/mol of atoms: w) 0.0; x) 1.7.



w) VASP calculation (PBE) on an optimized crystal structure of DyCdInPb.

Lattice parameters (Å, degrees): 4.559 4.675 4.826 90.00 90.00 90.00
Fractional coordinates of all 4 atoms:
Dy (0.000, 0.000, 0.000)
Cd (0.000, 0.500, 0.500)
In (0.500, 0.000, 0.500)
Pb (0.500, 0.500, 0.000)

N(E_F), states/eV/cell: 1.35
Total moment, μB per formula unit: 0.000
Space group: Pmmm
Crystal system: orthorhombic



x) VASP calculation (PBE) on an optimized crystal structure of DyCdInPb.

Lattice parameters (Å, degrees): 7.560 7.560 7.560 90.00 90.00 90.00
Fractional coordinates of all 16 atoms:
Dy (0.000, 0.000, 0.000)
Dy (0.000, 0.500, 0.500)
Dy (0.500, 0.000, 0.500)
Dy (0.500, 0.500, 0.000)
Cd (0.000, 0.000, 0.500)
Cd (0.000, 0.500, 0.000)
Cd (0.500, 0.000, 0.000)
Cd (0.500, 0.500, 0.500)
In (0.250, 0.250, 0.750)
In (0.250, 0.750, 0.250)
In (0.750, 0.250, 0.250)
In (0.750, 0.750, 0.750)
Pb (0.250, 0.250, 0.250)
Pb (0.250, 0.750, 0.750)
Pb (0.750, 0.250, 0.750)
Pb (0.750, 0.750, 0.250)

N(E_F), states/eV/cell: 10.10
Total moment, μB per formula unit: 0.000
Space group: F-43m
Crystal system: cubic



Need the numbers? Relative energies in kJ/mol of atoms: w) 0.0; x) 21.4.



w) VASP calculation (PBE) on an optimized crystal structure of DyTlCdIn.

Lattice parameters (Å, degrees): 4.569 4.655 4.689 90.00 90.00 90.00
Fractional coordinates of all 4 atoms:
Dy (0.000, 0.000, 0.000)
Tl (0.500, 0.500, 0.000)
Cd (0.000, 0.500, 0.500)
In (0.500, 0.000, 0.500)

N(E_F), states/eV/cell: 2.07
Total moment, μB per formula unit: 0.000
Space group: Pmmm
Crystal system: orthorhombic



x) VASP calculation (PBE) on an optimized crystal structure of DyTlCdIn.

Lattice parameters (Å, degrees): 7.446 7.446 7.446 90.00 90.00 90.00
Fractional coordinates of all 16 atoms:
Dy (0.000, 0.000, 0.000)
Dy (0.000, 0.500, 0.500)
Dy (0.500, 0.000, 0.500)
Dy (0.500, 0.500, 0.000)
Tl (0.250, 0.250, 0.750)
Tl (0.250, 0.750, 0.250)
Tl (0.750, 0.250, 0.250)
Tl (0.750, 0.750, 0.750)
Cd (0.000, 0.000, 0.500)
Cd (0.000, 0.500, 0.000)
Cd (0.500, 0.000, 0.000)
Cd (0.500, 0.500, 0.500)
In (0.250, 0.250, 0.250)
In (0.250, 0.750, 0.750)
In (0.750, 0.250, 0.750)
In (0.750, 0.750, 0.250)

N(E_F), states/eV/cell: 9.42
Total moment, μB per formula unit: 0.000
Space group: F-43m
Crystal system: cubic



Need the numbers? Relative energies in kJ/mol of atoms: w) 0.0; x) 15.4.



w) VASP calculation (PBE) on an optimized crystal structure of LaDy2Cd.

Lattice parameters (Å, degrees): 3.461 3.461 35.850 90.00 90.00 120.00
Fractional coordinates of all 12 atoms:
La (0.000, 0.000, 0.000)
La (0.333, 0.667, 0.667)
La (0.667, 0.333, 0.333)
Dy (0.000, 0.000, 0.096)
Dy (0.000, 0.000, 0.904)
Dy (0.333, 0.667, 0.571)
Dy (0.333, 0.667, 0.762)
Dy (0.667, 0.333, 0.238)
Dy (0.667, 0.333, 0.429)
Cd (0.000, 0.000, 0.500)
Cd (0.333, 0.667, 0.167)
Cd (0.667, 0.333, 0.833)

N(E_F), states/eV/cell: 17.99
Total moment, μB per formula unit: 0.003
Space group: R-3m
Crystal system: trigonal



x) VASP calculation (PBE) on an optimized crystal structure of LaDy2Cd.

Lattice parameters (Å, degrees): 4.917 4.917 4.945 90.00 90.00 90.00
Fractional coordinates of all 4 atoms:
La (0.000, 0.000, 0.000)
Dy (0.000, 0.500, 0.500)
Dy (0.500, 0.000, 0.500)
Cd (0.500, 0.500, 0.000)

N(E_F), states/eV/cell: 5.95
Total moment, μB per formula unit: 0.001
Space group: P4/mmm
Crystal system: tetragonal



y) VASP calculation (PBE) on an optimized crystal structure of LaDy2Cd.

Lattice parameters (Å, degrees): 12.853 3.806 5.620 90.00 115.87 90.00
Fractional coordinates of all 8 atoms:
La (0.000, 0.000, 0.000)
La (0.500, 0.500, 0.000)
Dy (0.223, 0.000, 0.723)
Dy (0.277, 0.500, 0.277)
Dy (0.723, 0.500, 0.723)
Dy (0.777, 0.000, 0.277)
Cd (0.000, 0.500, 0.500)
Cd (0.500, 0.000, 0.500)

N(E_F), states/eV/cell: 9.77
Total moment, μB per formula unit: 0.000
Space group: C2/m
Crystal system: monoclinic



z) VASP calculation (PBE) on an optimized crystal structure of LaDy2Cd.

Lattice parameters (Å, degrees): 3.654 3.654 9.088 90.00 90.00 90.00
Fractional coordinates of all 4 atoms:
La (0.000, 0.000, 0.000)
Dy (0.500, 0.500, 0.283)
Dy (0.500, 0.500, 0.717)
Cd (0.000, 0.000, 0.500)

N(E_F), states/eV/cell: 5.94
Total moment, μB per formula unit: 0.000
Space group: P4/mmm
Crystal system: tetragonal



Need the numbers? Relative energies in kJ/mol of atoms: w) 23.0; x) 5.9; y) 0.0; z) 0.8.



w) VASP calculation (PBE) on an optimized crystal structure of LaDyCd4.

Lattice parameters (Å, degrees): 5.993 5.993 5.993 60.00 60.00 60.00
Fractional coordinates of all 6 atoms:
La (0.000, 0.000, 0.000)
Dy (0.750, 0.750, 0.750)
Cd (0.375, 0.375, 0.375)
Cd (0.375, 0.375, 0.874)
Cd (0.375, 0.874, 0.375)
Cd (0.874, 0.375, 0.375)

N(E_F), states/eV/cell: 3.10
Total moment, μB per formula unit: 0.000
Space group: F-43m
Crystal system: cubic



x) VASP calculation (PBE) on an optimized crystal structure of LaDyCd4.

Lattice parameters (Å, degrees): 3.474 5.061 8.779 90.00 90.00 90.00
Fractional coordinates of all 6 atoms:
La (0.000, 0.000, 0.000)
Dy (0.000, 0.500, 0.500)
Cd (0.500, 0.000, 0.339)
Cd (0.500, 0.000, 0.661)
Cd (0.500, 0.500, 0.174)
Cd (0.500, 0.500, 0.826)

N(E_F), states/eV/cell: 4.69
Total moment, μB per formula unit: 0.001
Space group: Pmmm
Crystal system: orthorhombic



Need the numbers? Relative energies in kJ/mol of atoms: w) 4.5; x) 0.0.



w) VASP calculation (PBE) on an optimized crystal structure of La3Dy2Cd3.

Lattice parameters (Å, degrees): 8.917 8.917 3.404 90.00 90.00 120.00
Fractional coordinates of all 8 atoms:
La (0.000, 0.237, 0.000)
La (0.237, 0.000, 0.000)
La (0.763, 0.763, 0.000)
Dy (0.333, 0.667, 0.000)
Dy (0.667, 0.333, 0.000)
Cd (0.000, 0.603, 0.500)
Cd (0.397, 0.397, 0.500)
Cd (0.603, 0.000, 0.500)

N(E_F), states/eV/cell: 9.87
Total moment, μB per formula unit: 0.020
Space group: P-62m
Crystal system: hexagonal



x) VASP calculation (PBE) on an optimized crystal structure of La3Dy2Cd3.

Lattice parameters (Å, degrees): 3.810 5.624 22.889 90.00 90.00 90.00
Fractional coordinates of all 16 atoms:
La (0.000, 0.000, 0.000)
La (0.000, 0.500, 0.124)
La (0.000, 0.500, 0.876)
La (0.500, 0.000, 0.376)
La (0.500, 0.000, 0.624)
La (0.500, 0.500, 0.500)
Dy (0.000, 0.000, 0.235)
Dy (0.000, 0.000, 0.765)
Dy (0.500, 0.500, 0.265)
Dy (0.500, 0.500, 0.735)
Cd (0.000, 0.000, 0.500)
Cd (0.000, 0.500, 0.376)
Cd (0.000, 0.500, 0.624)
Cd (0.500, 0.000, 0.124)
Cd (0.500, 0.000, 0.876)
Cd (0.500, 0.500, 0.000)

N(E_F), states/eV/cell: 20.81
Total moment, μB per formula unit: 0.012
Space group: Immm
Crystal system: orthorhombic



Need the numbers? Relative energies in kJ/mol of atoms: w) 6.2; x) 0.0.